w:
# ReTe2Cl meta-GGA SCAN PBEsol geometry
data_ReTe2Cl
_chemical_formula_sum 'Re1 Te2 Cl1'
_cell_length_a 3.1093
_cell_length_b 6.9478
_cell_length_c 6.9478
_cell_angle_alpha 39.35
_cell_angle_beta 77.07
_cell_angle_gamma 77.07
_symmetry_space_group_name_H-M 'P 1'
_symmetry_Int_Tables_number 1
loop_
_symmetry_equiv_pos_as_xyz
'x,y,z'
loop_
_atom_site_label
_atom_site_fract_x
_atom_site_fract_y
_atom_site_fract_z
Re1 0.0000 0.5000 0.5000
Te1 0.3276 0.6724 0.6724
Te2 0.6724 0.3276 0.3276
Cl1 0.5000 0.0000 0.0000
# **Space-group type**: Immm, No. 71

=====

x:
# ReTe2Cl meta-GGA SCAN PBEsol geometry
data_ReTe2Cl
_chemical_formula_sum 'Re2 Te4 Cl2'
_cell_length_a 6.9186
_cell_length_b 7.1464
_cell_length_c 6.9186
_cell_angle_alpha 61.05
_cell_angle_beta 90.00
_cell_angle_gamma 118.95
_symmetry_space_group_name_H-M 'P 1'
_symmetry_Int_Tables_number 1
loop_
_symmetry_equiv_pos_as_xyz
'x,y,z'
loop_
_atom_site_label
_atom_site_fract_x
_atom_site_fract_y
_atom_site_fract_z
Re1 0.7500 0.5000 0.7500
Re2 0.0000 0.0000 0.0000
Te1 0.6928 0.7500 0.3750
Te2 0.0572 0.7500 0.8750
Te3 0.8750 0.2500 0.6928
Te4 0.3750 0.2500 0.0572
Cl1 0.2500 0.5000 0.2500
Cl2 0.5000 0.0000 0.5000
# **Space-group type**: I-42d, No. 122

=====

Among the structures shown above, x is the most stable, with the second-best lying 149 meV per atom higher.